Entry 1:
{
  "formula": "Pr2Ge4Pd3Au",
  "functional": "GGA-PBE",
  "state": "relaxed",
  "lattice": [[4.394, 0.000, 0.000], [0.000, 4.394, 0.000], [0.000, 0.000, 10.274]],
  "species": ["Pr", "Pr", "Ge", "Ge", "Ge", "Ge", "Pd", "Pd", "Pd", "Au"],
  "frac_coords": [[0.000, 0.500, 0.248], [0.500, 0.000, 0.752], [0.000, 0.000, 0.000], [0.000, 0.500, 0.638], [0.500, 0.000, 0.362], [0.500, 0.500, 0.000], [0.000, 0.500, 0.877], [0.500, 0.000, 0.123], [0.500, 0.500, 0.500], [0.000, 0.000, 0.500]],
  "total_magnetization_mub_per_fu": 0.0,
  "spacegroup": "P-4m2, No. 115",
  "dft_energy_ev_per_atom": -5.4563,
  "formation_enthalpy_0k_kj_per_mol_fu": -741
}

***

Entry 2:
{
  "formula": "Pr2GePd6Au",
  "functional": "GGA-PBE",
  "state": "relaxed",
  "lattice": [[5.490, 0.000, 0.000], [0.000, 8.809, 0.000], [0.000, 0.000, 8.707]],
  "species": ["Pr", "Pr", "Pr", "Pr", "Ge", "Ge", "Pd", "Pd", "Pd", "Pd", "Pd", "Pd", "Pd", "Pd", "Pd", "Pd", "Pd", "Pd", "Au", "Au"],
  "frac_coords": [[0.250, 0.012, 0.233], [0.250, 0.488, 0.233], [0.750, 0.512, 0.767], [0.750, 0.988, 0.767], [0.250, 0.250, 0.732], [0.750, 0.750, 0.268], [0.004, 0.750, 0.042], [0.004, 0.750, 0.504], [0.250, 0.000, 0.593], [0.250, 0.500, 0.593], [0.496, 0.750, 0.042], [0.496, 0.750, 0.504], [0.504, 0.250, 0.496], [0.504, 0.250, 0.958], [0.750, 0.000, 0.407], [0.750, 0.500, 0.407], [0.996, 0.250, 0.496], [0.996, 0.250, 0.958], [0.250, 0.750, 0.780], [0.750, 0.250, 0.220]],
  "total_magnetization_mub_per_fu": 0.0,
  "spacegroup": "Pmmn, No. 59",
  "dft_energy_ev_per_atom": -5.4704,
  "formation_enthalpy_0k_kj_per_mol_fu": -588
}